(1)
# MgHg2Ir, relaxed, DFT PBE-GGA
data_MgHg2Ir
_chemical_formula_sum 'Mg3 Hg6 Ir3'
_symmetry_space_group_name_H-M 'R -3 m'
_symmetry_Int_Tables_number 166
_symmetry_space_group_name_Hall '-R 3 2"'
_cell_length_a 3.1208
_cell_length_b 3.1208
_cell_length_c 27.3060
_cell_angle_alpha 90.00
_cell_angle_beta 90.00
_cell_angle_gamma 120.00
loop_
_atom_site_label
_atom_site_fract_x
_atom_site_fract_y
_atom_site_fract_z
_atom_site_occupancy
Mg1 0.0000 0.0000 0.0000 1
Hg1 0.0000 0.0000 0.2488 1
Ir1 0.0000 0.0000 0.5000 1
# Energy relative to the lowest polymorph listed for this composition (meV per atom): 214
# Total magnetization (μB/f.u.): 0.23
# Volume (Å³/cell): 230


(2)
# MgHgIr2, relaxed, DFT PBE-GGA
data_MgHgIr2
_chemical_formula_sum 'Mg2 Hg2 Ir4'
_symmetry_space_group_name_H-M 'I 4/m m m'
_symmetry_Int_Tables_number 139
_symmetry_space_group_name_Hall '-I 4 2'
_cell_length_a 3.998
_cell_length_b 3.998
_cell_length_c 8.267
_cell_angle_alpha 90.00
_cell_angle_beta 90.00
_cell_angle_gamma 90.00
loop_
_atom_site_label
_atom_site_fract_x
_atom_site_fract_y
_atom_site_fract_z
_atom_site_occupancy
Mg1 0.000 0.000 0.000 1
Hg1 0.000 0.000 0.500 1
Ir1 0.000 0.500 0.250 1
# Total magnetization (μB/f.u.): 0.00
# Volume (Å³/cell): 132


(3)
# MgHgIr2, relaxed, DFT PBE-GGA
data_MgHgIr2
_chemical_formula_sum 'Mg1 Hg1 Ir2'
_symmetry_space_group_name_H-M 'P 4/m m m'
_symmetry_Int_Tables_number 123
_symmetry_space_group_name_Hall '-P 4 2'
_cell_length_a 2.874
_cell_length_b 2.874
_cell_length_c 8.022
_cell_angle_alpha 90.00
_cell_angle_beta 90.00
_cell_angle_gamma 90.00
loop_
_atom_site_label
_atom_site_fract_x
_atom_site_fract_y
_atom_site_fract_z
_atom_site_occupancy
Mg1 0.000 0.000 0.000 1
Hg1 0.000 0.000 0.500 1
Ir1 0.500 0.500 0.237 1
# Total magnetization (μB/f.u.): 0.00
# Volume (Å³/cell): 66


(4)
# MgHg2Ir, relaxed, DFT PBE-GGA
data_MgHg2Ir
_chemical_formula_sum 'Mg4 Hg8 Ir4'
_symmetry_space_group_name_H-M 'F m -3 m'
_symmetry_Int_Tables_number 225
_symmetry_space_group_name_Hall '-F 4 2 3'
_cell_length_a 6.665
_cell_length_b 6.665
_cell_length_c 6.665
_cell_angle_alpha 90.00
_cell_angle_beta 90.00
_cell_angle_gamma 90.00
loop_
_atom_site_label
_atom_site_fract_x
_atom_site_fract_y
_atom_site_fract_z
_atom_site_occupancy
Mg1 0.000 0.000 0.000 1
Hg1 0.250 0.250 0.250 1
Ir1 0.000 0.000 0.500 1
# Energy relative to the lowest polymorph listed for this composition (meV per atom): 65
# Total magnetization (μB/f.u.): 0.00
# Volume (Å³/cell): 296


(5)
# MgHgIr2, relaxed, DFT PBE-GGA
data_MgHgIr2
_chemical_formula_sum 'Mg1 Hg1 Ir2'
_symmetry_space_group_name_H-M 'P 1 m 1'
_symmetry_Int_Tables_number 6
_cell_length_a 2.874
_cell_length_b 3.970
_cell_length_c 5.829
_cell_angle_alpha 90.00
_cell_angle_beta 90.06
_cell_angle_gamma 90.00
loop_
_symmetry_equiv_pos_as_xyz
'x,y,z'
'x,-y,z'
loop_
_atom_site_label
_atom_site_fract_x
_atom_site_fract_y
_atom_site_fract_z
_atom_site_occupancy
Mg1 0.000 0.000 0.000 1
Hg1 0.501 0.500 0.264 1
Ir1 0.499 0.500 0.756 1
Ir2 0.999 0.000 0.545 1
# Total magnetization (μB/f.u.): 0.00
# Volume (Å³/cell): 67


(6)
# Mg6HgIr2, relaxed, DFT PBE-GGA
data_Mg6HgIr2
_chemical_formula_sum 'Mg6 Hg1 Ir2'
_symmetry_space_group_name_H-M 'P -3 m 1'
_symmetry_Int_Tables_number 164
_symmetry_space_group_name_Hall '-P 3 2"'
_cell_length_a 4.5916
_cell_length_b 4.5916
_cell_length_c 9.0009
_cell_angle_alpha 90.00
_cell_angle_beta 90.00
_cell_angle_gamma 120.00
loop_
_atom_site_label
_atom_site_fract_x
_atom_site_fract_y
_atom_site_fract_z
_atom_site_occupancy
Mg1 0.0000 0.0000 0.1927 1
Mg2 0.3333 0.6667 0.0652 1
Mg3 0.3333 0.6667 0.3883 1
Hg1 0.0000 0.0000 0.5000 1
Ir1 0.3333 0.6667 0.7649 1
# Total magnetization (μB/f.u.): 0.00
# Volume (Å³/cell): 164


(7)
# Mg3HgIr, relaxed, DFT PBE-GGA
data_Mg3HgIr
_chemical_formula_sum 'Mg6 Hg2 Ir2'
_symmetry_space_group_name_H-M 'P m m a'
_symmetry_Int_Tables_number 51
_cell_length_a 8.667
_cell_length_b 3.083
_cell_length_c 7.375
_cell_angle_alpha 90.00
_cell_angle_beta 90.00
_cell_angle_gamma 90.00
loop_
_symmetry_equiv_pos_as_xyz
'x,y,z'
'-x,-y,-z'
'-x+1/2,-y,z'
'x+1/2,y,-z'
'x+1/2,-y,-z'
'-x+1/2,y,z'
'-x,y,-z'
'x,-y,z'
loop_
_atom_site_label
_atom_site_fract_x
_atom_site_fract_y
_atom_site_fract_z
_atom_site_occupancy
Mg1 0.045 0.000 0.209 1
Mg2 0.250 0.000 0.554 1
Hg1 0.250 0.500 0.940 1
Ir1 0.000 0.500 0.500 1
# Energy relative to the lowest polymorph listed for this composition (meV per atom): 0
# Total magnetization (μB/f.u.): 0.00
# Volume (Å³/cell): 197


(8)
# MgHg2Ir, relaxed, DFT PBE-GGA
data_MgHg2Ir
_chemical_formula_sum 'Mg2 Hg4 Ir2'
_symmetry_space_group_name_H-M 'C m m m'
_symmetry_Int_Tables_number 65
_symmetry_space_group_name_Hall '-C 2 2'
_cell_length_a 5.956
_cell_length_b 7.737
_cell_length_c 3.222
_cell_angle_alpha 90.00
_cell_angle_beta 90.00
_cell_angle_gamma 90.00
loop_
_atom_site_label
_atom_site_fract_x
_atom_site_fract_y
_atom_site_fract_z
_atom_site_occupancy
Mg1 0.000 0.000 0.000 1
Hg1 0.250 0.250 0.500 1
Ir1 0.000 0.500 0.000 1
# Energy relative to the lowest polymorph listed for this composition (meV per atom): 144
# Total magnetization (μB/f.u.): 0.00
# Volume (Å³/cell): 148


Going through the records in order, we get energy of formation from the pure elements values of 97, 57, 82, 39, 41, -206, -130, 70 kJ/mol of formula units.
Going through the records in order, we get N(E_F) values of 2.1, 4.5, 4.2, 1.8, 4.6, 2.3, 2.0, 2.0 states/eV/f.u..